No. 1
PBE RbCd2InAu, optimized geometry; excess energy over the best structure of this formula in the dataset = 181 meV per atom
1.0
5.7117 0.0000 0.0000
0.0000 5.7117 0.0000
0.0000 0.0000 5.4367
Rb Cd In Au
1 2 1 1
Direct
0.0000 0.0000 0.0000
0.0000 0.5000 0.5000
0.5000 0.0000 0.5000
0.5000 0.5000 0.5000
0.5000 0.5000 0.0000



No. 2
PBE Rb2Cd6InAu, optimized geometry; total energy = -14.54 eV/cell
1.0
7.5545 0.0000 0.0000
-3.7708 6.5640 0.0000
-3.7514 -2.1687 6.2964
Rb Cd In Au
2 6 1 1
Direct
0.1361 0.3182 0.4540
0.8639 0.6818 0.5460
0.0202 0.3415 0.8983
0.2787 0.1212 0.1004
0.4434 0.8218 0.1023
0.5566 0.1782 0.8977
0.7213 0.8788 0.8996
0.9798 0.6585 0.1017
0.5000 0.0000 0.5000
0.5000 0.5000 0.0000



No. 3
PBE Rb2Cd4InAu3, optimized geometry; total energy = -20.04 eV/cell
1.0
4.9174 0.0000 0.0000
0.0000 4.9174 0.0000
0.0000 0.0000 11.8318
Rb Cd In Au
2 4 1 3
Direct
0.0000 0.5000 0.2441
0.5000 0.0000 0.7559
0.0000 0.0000 0.0000
0.0000 0.5000 0.6373
0.5000 0.0000 0.3627
0.5000 0.5000 0.0000
0.0000 0.0000 0.5000
0.0000 0.5000 0.8739
0.5000 0.0000 0.1261
0.5000 0.5000 0.5000



No. 4
PBE Rb2CdInAu6, optimized geometry; total energy = -26.41 eV/cell
1.0
5.2867 -5.4463 0.0000
5.2867 5.4463 0.0000
-5.2004 0.0000 5.3077
Rb Cd In Au
2 1 1 6
Direct
0.2091 0.7909 0.0000
0.7909 0.2091 0.0000
0.0000 0.0000 0.5000
0.5000 0.5000 0.5000
0.2505 0.7495 0.5000
0.3102 0.3102 0.6205
0.3133 0.3133 0.9998
0.6867 0.6867 0.0002
0.6898 0.6898 0.3795
0.7495 0.2505 0.5000



No. 5
PBE RbCd2InAu, optimized geometry; excess energy over the best structure of this formula in the dataset = 88 meV per atom
1.0
5.4303 0.0000 0.0000
0.0000 5.4303 0.0000
0.0000 0.0000 5.5313
Rb Cd In Au
1 2 1 1
Direct
0.0000 0.0000 0.0000
0.0000 0.5000 0.5000
0.5000 0.0000 0.5000
0.5000 0.5000 0.0000
0.5000 0.5000 0.5000



No. 6
PBE Rb2CdIn2Au2, optimized geometry; total energy = -32.58 eV/cell
1.0
11.8923 0.0000 0.0000
0.0000 5.2253 0.0000
-5.3460 0.0000 7.7780
Rb Cd In Au
4 2 4 4
Direct
0.2145 0.0000 0.2853
0.2855 0.5000 0.7147
0.7145 0.5000 0.2853
0.7855 0.0000 0.7147
0.0000 0.0000 0.5000
0.5000 0.5000 0.5000
0.0777 0.5000 0.9006
0.4223 0.0000 0.0994
0.5777 0.0000 0.9006
0.9223 0.5000 0.0994
0.1358 0.0000 0.8494
0.3642 0.5000 0.1506
0.6358 0.5000 0.8494
0.8642 0.0000 0.1506